This record from the Alexandria database describes Sc3Si3Ru after structural relaxation. The functional is GGA-PBEsol.

Lattice parameters (Å, degrees): 3.938 10.221 11.613 90.00 90.00 90.00
Fractional positions:
Ru  0.750  0.610  0.323
Ru  0.750  0.890  0.823
Ru  0.250  0.390  0.677
Ru  0.250  0.110  0.177
Si  0.750  0.752  0.658
Si  0.250  0.252  0.842
Si  0.250  0.306  0.045
Si  0.750  0.806  0.455
Si  0.750  0.984  0.178
Si  0.250  0.194  0.545
Si  0.750  0.748  0.158
Si  0.250  0.484  0.322
Si  0.750  0.516  0.678
Si  0.250  0.248  0.342
Si  0.250  0.016  0.822
Si  0.750  0.694  0.955
Sc  0.750  0.078  0.396
Sc  0.250  0.922  0.604
Sc  0.250  0.659  0.798
Sc  0.750  0.422  0.896
Sc  0.750  0.123  0.981
Sc  0.250  0.841  0.298
Sc  0.250  0.877  0.019
Sc  0.750  0.341  0.202
Sc  0.250  0.623  0.519
Sc  0.750  0.159  0.702
Sc  0.250  0.578  0.104
Sc  0.750  0.377  0.481

Properties
- Formation energy without anion corrections: -0.9289 eV per atom

This record from the Alexandria database describes LaCdRe2 after structural relaxation. The functional is GGA-PBEsol.

Lattice parameters (Å, degrees): 2.990 4.937 5.250 90.00 92.23 90.00
Fractional positions:
Cd  0.500  0.500  0.000
La  0.000  0.500  0.500
Re  0.312  0.000  0.282
Re  0.688  0.000  0.718

Properties
- E_form: 0.763 eV/atom

This record from the Alexandria database describes SnH5CI3N2 after structural relaxation. The functional is GGA-PBEsol.

Lattice parameters (Å, degrees): 6.182 6.370 6.182 90.00 89.24 90.00
Fractional positions:
H  0.910  0.315  0.910
H  0.039  0.000  0.039
H  0.729  0.805  0.729
H  0.910  0.685  0.910
H  0.729  0.195  0.729
N  0.845  0.819  0.845
N  0.845  0.181  0.845
I  0.404  0.000  0.404
I  0.349  0.500  0.878
I  0.878  0.500  0.349
Sn  0.375  0.500  0.375
C  0.914  0.000  0.914

This record from the Alexandria database describes TlFeIr2 after structural relaxation. The functional is GGA-PBEsol.

Lattice parameters (Å, degrees): 2.876 2.876 7.340 90.00 90.00 90.00
Fractional positions:
Ir  0.000  0.000  0.290
Ir  0.000  0.000  0.710
Fe  0.500  0.500  0.500
Tl  0.500  0.500  0.000

Properties
- ΔE to the lowest computed polymorph: 0.00 kJ per mole of atoms
- E_form: 0.319 eV/atom

This record from the Alexandria database describes Mn2NiRh after structural relaxation. The functional is GGA-PBEsol.

Lattice parameters (Å, degrees): 3.546 3.546 3.611 90.00 90.00 90.00
Fractional positions:
Ni  0.500  0.500  0.500
Mn  0.000  0.500  0.000
Mn  0.500  0.000  0.000
Rh  0.000  0.000  0.500

Properties
- E_form: 0.051 eV/atom

This record from the Alexandria database describes Na2LiTl after structural relaxation. The functional is GGA-PBEsol.

Lattice parameters (Å, degrees): 5.294 5.294 5.294 60.00 60.00 60.00
Fractional positions:
Na  0.750  0.750  0.750
Na  0.250  0.250  0.250
Li  0.000  0.000  0.000
Tl  0.500  0.500  0.500

Properties
- E_form: -0.059 eV/atom

This record from the Alexandria database describes Mg2TaNb2O8 after structural relaxation. The functional is GGA-PBEsol.

Lattice parameters (Å, degrees): 5.183 5.930 9.863 104.07 93.86 91.38
Fractional positions:
Mg  0.233  0.583  0.448
Mg  0.767  0.417  0.552
Mg  0.253  0.139  0.539
Mg  0.747  0.861  0.461
O  0.057  0.203  0.134
O  0.943  0.797  0.866
O  0.864  0.544  0.383
O  0.428  0.296  0.381
O  0.394  0.089  0.887
O  0.606  0.911  0.113
O  0.408  0.546  0.885
O  0.572  0.704  0.619
O  0.934  0.080  0.367
O  0.377  0.845  0.381
O  0.136  0.456  0.617
O  0.096  0.672  0.103
O  0.904  0.328  0.897
O  0.623  0.155  0.619
O  0.066  0.920  0.633
O  0.592  0.454  0.115
Nb  0.722  0.008  0.770
Nb  0.278  0.992  0.230
Nb  0.284  0.754  0.754
Nb  0.716  0.246  0.246
Ta  0.247  0.347  0.011
Ta  0.753  0.653  0.989

Properties
- Formation energy without anion corrections: -2.5697 eV per atom

This record from the Alexandria database describes BaLi2Os after structural relaxation. The functional is GGA-PBEsol.

Lattice parameters (Å, degrees): 3.432 5.037 5.470 117.41 108.28 90.00
Fractional positions:
Li  0.981  0.981  0.961
Li  0.234  0.734  0.468
Ba  0.757  0.257  0.515
Os  0.528  0.528  0.056

Properties
- E_form: 0.727 eV/atom

This record from the Alexandria database describes Cd5Hg3 after structural relaxation. The functional is GGA-PBEsol.

Lattice parameters (Å, degrees): 4.411 6.222 6.222 92.10 90.00 90.00
Fractional positions:
Cd  0.000  0.000  0.500
Cd  0.000  0.000  0.000
Cd  0.500  0.258  0.258
Cd  0.500  0.742  0.742
Cd  0.000  0.500  0.000
Hg  0.000  0.500  0.500
Hg  0.500  0.762  0.238
Hg  0.500  0.238  0.762

Properties
- ΔE to the lowest computed polymorph: 0.00 kJ per mole of atoms
- E_form: -0.004 eV/atom

This record from the Alexandria database describes Be2CdMo after structural relaxation. The functional is GGA-PBEsol.

Lattice parameters (Å, degrees): 3.367 3.882 3.882 90.00 90.00 90.00
Fractional positions:
Be  0.000  0.000  0.500
Be  0.000  0.500  0.000
Mo  0.500  0.000  0.000
Cd  0.500  0.500  0.500

Properties
- E_form: 0.213 eV/atom

This record from the Alexandria database describes Cd3RuO after structural relaxation. The functional is GGA-PBEsol.

Lattice parameters (Å, degrees): 4.414 4.414 4.414 90.00 90.00 90.00
Fractional positions:
Cd  0.000  0.500  0.000
Cd  0.500  0.000  0.000
Cd  0.000  0.000  0.500
Ru  0.500  0.500  0.500
O  0.000  0.000  0.000

Properties
- Formation energy without anion corrections: 0.3196 eV per atom

This record from the Alexandria database describes Sr3OsPt after structural relaxation. The functional is GGA-PBEsol.

Lattice parameters (Å, degrees): 5.570 5.570 5.570 90.00 90.00 90.00
Fractional positions:
Os  0.500  0.500  0.500
Sr  0.000  0.000  0.500
Sr  0.000  0.500  0.000
Sr  0.500  0.000  0.000
Pt  0.000  0.000  0.000

Properties
- E_form: 0.757 eV/atom

| no. | total DFT energy (no corrections) (eV per formula unit) |
| --- | --- |
| 1 | -53.73 |
| 2 | -30.15 |
| 3 | -57.12 |
| 4 | -29.97 |
| 5 | -33.61 |
| 6 | -7.63 |
| 7 | -113.03 |
| 8 | -15.39 |
| 9 | -7.71 |
| 10 | -20.11 |
| 11 | -17.41 |
| 12 | -20.92 |